Entry from the Alexandria database: a relaxed Cu2AuF6 crystal (GGA-PBE).

Properties
- Calculated volume: 277.07 Å³/cell
- E: -67.89 eV for the cell shown
- Total moment: 2.0 μB/cell
- Formation energy (no corrections): -1.250 eV/atom

Cell: 6.8743 6.8743 6.2935 Å, 104.13 104.13 93.95°
With the nearest neighbours (Å) after each atom.
Sites, in units of the cell vectors:
Cu1 0.0363 0.2220 0.1275  4 F 1.89-1.97
Cu2 0.2220 0.0363 0.6275  4 F 1.89-1.97
Cu3 0.7780 0.9637 0.3725  4 F 1.89-1.97
Cu4 0.9637 0.7780 0.8725  4 F 1.89-1.97
Au1 0.4219 0.5781 0.7500  4 F 2.09-2.10
Au2 0.5781 0.4219 0.2500  4 F 2.09-2.10
F1 0.0122 0.1789 0.4905  2 Cu 1.95-1.97
F2 0.1349 0.5802 0.8071  1 Cu 1.89, 1 Au 2.09
F3 0.1789 0.0122 0.9905  2 Cu 1.95-1.97
F4 0.2740 0.4166 0.2593  1 Cu 1.91, 1 Au 2.10
F5 0.4166 0.2740 0.7593  1 Cu 1.91, 1 Au 2.10
F6 0.4198 0.8651 0.6929  1 Cu 1.89, 1 Au 2.09
F7 0.5802 0.1349 0.3071  1 Cu 1.89, 1 Au 2.09
F8 0.5834 0.7260 0.2407  1 Cu 1.91, 1 Au 2.10
F9 0.7260 0.5834 0.7407  1 Cu 1.91, 1 Au 2.10
F10 0.8211 0.9878 0.0095  2 Cu 1.95-1.97
F11 0.8651 0.4198 0.1929  1 Cu 1.89, 1 Au 2.09
F12 0.9878 0.8211 0.5095  2 Cu 1.95-1.97


Entry from the Alexandria database: a relaxed Sr2CoBr crystal (GGA-PBE).

Properties
- Calculated volume: 116.50 Å³/cell
- ΔE to the lowest computed polymorph: 0.126 eV/atom
- E: -13.38 eV for the cell shown
- Total moment: 0.3 μB/cell
- Formation energy (no corrections): -0.310 eV/atom

Cell: 5.0596 6.2447 6.2447 Å, 36.19 90.00 90.00°
With the nearest neighbours (Å) after each atom.
Sites, in units of the cell vectors:
Sr1 0.0000 0.0000 0.0000  3 Br 3.19-3.36, 4 Co 3.19
Sr2 0.5000 0.2693 0.2693  1 Co 2.95, 4 Br 3.22
Co1 0.5000 0.5180 0.5180  5 Sr 2.95-3.19
Br1 0.0000 0.7311 0.7311  7 Sr 3.19-3.36


Entry from the Alexandria database: a relaxed Y3CdSn crystal (GGA-PBE).

Properties
- Calculated volume: 172.05 Å³/cell
- Calculated formation energy: 0.152 eV/atom
- ΔE to the lowest computed polymorph: 0.000 eV/atom
- E: -23.55 eV for the cell shown
- Total moment: 0.0 μB/cell

Cell: 5.5619 5.5619 5.5619 Å, 90.00 90.00 90.00°
With the nearest neighbours (Å) after each atom.
Sites, in units of the cell vectors:
Y1 0.0000 0.0000 0.5000  2 Cd 2.78
Y2 0.0000 0.5000 0.0000  2 Cd 2.78
Y3 0.5000 0.0000 0.0000  2 Cd 2.78
Cd1 0.0000 0.0000 0.0000  6 Y 2.78
Sn1 0.5000 0.5000 0.5000  12 Y 3.93


Entry from the Alexandria database: a relaxed CeSn2F8 crystal (GGA-PBE).

Properties
- Calculated volume: 211.41 Å³/cell
- ΔE to the lowest computed polymorph: 0.000 eV/atom
- E: -61.37 eV for the cell shown
- Total moment: 0.0 μB/cell
- Formation energy (no corrections): -2.950 eV/atom

Cell: 6.5586 6.5586 5.3668 Å, 104.17 104.17 74.19°
With the nearest neighbours (Å) after each atom.
Sites, in units of the cell vectors:
Ce1 0.0000 0.0000 0.0000  6 F 2.19-2.20
Sn1 0.3540 0.3540 0.7058  5 F 2.15-2.38
Sn2 0.6460 0.6460 0.2942  5 F 2.15-2.38
F1 0.0813 0.6764 0.7607  1 Ce 2.20, 1 Sn 2.38
F2 0.1403 0.1403 0.7707  1 Ce 2.19, 1 Sn 2.37
F3 0.3236 0.9187 0.2393  1 Ce 2.20, 1 Sn 2.38
F4 0.4120 0.4120 0.1266  2 Sn 2.15-2.34
F5 0.5880 0.5880 0.8734  2 Sn 2.15-2.34
F6 0.6764 0.0813 0.7607  1 Ce 2.20, 1 Sn 2.38
F7 0.8597 0.8597 0.2293  1 Ce 2.19, 1 Sn 2.37
F8 0.9187 0.3236 0.2393  1 Ce 2.20, 1 Sn 2.38


Entry from the Alexandria database: a relaxed ZrNbRh2N crystal (GGA-PBE).

Properties
- Calculated volume: 95.17 Å³/cell
- E: -36.60 eV for the cell shown
- Total moment: 0.0 μB/cell
- Formation energy (no corrections): 1.009 eV/atom

Cell: 4.8546 4.8546 4.0383 Å, 90.00 90.00 90.00°
With the nearest neighbours (Å) after each atom.
Sites, in units of the cell vectors:
Zr1 0.0000 0.0000 0.0000  2 N 2.02
Nb1 0.5000 0.5000 0.5000  8 Rh 3.16, 4 N 3.43
Rh1 0.0000 0.5000 0.0000  2 Zr 2.43
Rh2 0.5000 0.0000 0.0000  2 Zr 2.43
N1 0.0000 0.0000 0.5000  2 Zr 2.02


Entry from the Alexandria database: a relaxed InAgSe2Br crystal (GGA-PBE).

Properties
- Calculated volume: 144.38 Å³/cell
- ΔE to the lowest computed polymorph: 0.000 eV/atom
- E: -13.36 eV for the cell shown
- Total moment: 0.0 μB/cell
- Formation energy (no corrections): 0.173 eV/atom

Cell: 5.1276 5.1276 5.4912 Å, 90.00 90.00 90.00°
With the nearest neighbours (Å) after each atom.
Sites, in units of the cell vectors:
In1 0.0000 0.0000 0.0000  4 Br 3.63, 8 Se 3.76
Ag1 0.5000 0.5000 0.5000  4 Se 2.56, 2 Br 2.75
Se1 0.0000 0.5000 0.5000  2 Ag 2.56
Se2 0.5000 0.0000 0.5000  2 Ag 2.56
Br1 0.5000 0.5000 0.0000  2 Ag 2.75


Entry from the Alexandria database: a relaxed CaReTc2 crystal (GGA-PBE).

Properties
- Calculated volume: 74.15 Å³/cell
- Calculated formation energy: 0.471 eV/atom
- ΔE to the lowest computed polymorph: 0.083 eV/atom
- E: -33.30 eV for the cell shown
- Total moment: 0.0 μB/cell

Cell: 4.9722 4.9722 5.3794 Å, 105.46 105.46 35.50°
With the nearest neighbours (Å) after each atom.
Sites, in units of the cell vectors:
Ca1 0.0000 0.0000 0.0000  2 Ca 3.03, 6 Tc 3.05-3.14, 4 Re 3.09
Re1 0.5000 0.5000 0.5000  4 Tc 2.52
Tc1 0.2178 0.2178 0.6757  2 Re 2.52, 2 Tc 2.62
Tc2 0.7822 0.7822 0.3243  2 Re 2.52, 2 Tc 2.62


Entry from the Alexandria database: a relaxed LiZrNbTc crystal (GGA-PBE).

Properties
- Calculated volume: 68.09 Å³/cell
- Calculated formation energy: -0.061 eV/atom
- E: -31.14 eV for the cell shown
- Total moment: 0.0 μB/cell

Cell: 4.5834 4.5834 4.5834 Å, 60.00 60.00 60.00°
With the nearest neighbours (Å) after each atom.
Sites, in units of the cell vectors:
Li1 0.0000 0.0000 0.0000  4 Nb 2.81, 4 Zr 2.81
Zr1 0.2500 0.2500 0.2500  4 Tc 2.81, 4 Li 2.81
Nb1 0.7500 0.7500 0.7500  4 Li 2.81, 4 Tc 2.81
Tc1 0.5000 0.5000 0.5000  4 Zr 2.81, 4 Nb 2.81


Entry from the Alexandria database: a relaxed CoCu2Mo crystal (GGA-PBE).

Properties
- Calculated volume: 50.34 Å³/cell
- Calculated formation energy: 0.384 eV/atom
- ΔE to the lowest computed polymorph: 0.229 eV/atom
- E: -24.59 eV for the cell shown
- Total moment: 0.6 μB/cell

Cell: 4.1445 4.1445 4.1445 Å, 60.00 60.00 60.00°
With the nearest neighbours (Å) after each atom.
Sites, in units of the cell vectors:
Co1 0.0000 0.0000 0.0000  8 Cu 2.54
Cu1 0.2500 0.2500 0.2500  4 Mo 2.54, 4 Co 2.54
Cu2 0.7500 0.7500 0.7500  4 Mo 2.54, 4 Co 2.54
Mo1 0.5000 0.5000 0.5000  8 Cu 2.54


Entry from the Alexandria database: a relaxed CePtPb crystal (GGA-PBE).

Properties
- Calculated volume: 73.27 Å³/cell
- Calculated formation energy: -0.681 eV/atom
- E: -17.73 eV for the cell shown
- Total moment: 0.7 μB/cell

Cell: 4.8028 4.8028 3.6676 Å, 90.00 90.00 120.00°
With the nearest neighbours (Å) after each atom.
Sites, in units of the cell vectors:
Ce1 0.0000 0.0000 0.0000  6 Pt 3.32, 6 Pb 3.32, 2 Ce 3.67
Pt1 0.3333 0.6667 0.5000  3 Pb 2.77
Pb1 0.6667 0.3333 0.5000  3 Pt 2.77


Entry from the Alexandria database: a relaxed Pa4Te2PC crystal (GGA-PBE).

Properties
- Calculated volume: 188.96 Å³/cell
- E: -65.20 eV for the cell shown
- Total moment: 0.0 μB/cell
- Formation energy (no corrections): -0.788 eV/atom

Cell: 6.7651 3.8313 7.6088 Å, 90.00 106.64 90.00°
With the nearest neighbours (Å) after each atom.
Sites, in units of the cell vectors:
Pa1 0.2129 0.0000 0.1904  2 C 2.58, 1 P 2.74
Pa2 0.2471 0.5000 0.7997  1 C 2.56, 2 P 2.73
Pa3 0.7529 0.5000 0.2003  1 C 2.56, 2 P 2.73
Pa4 0.7871 0.0000 0.8096  2 C 2.58, 1 P 2.74
Te1 0.0000 0.0000 0.5000  6 Pa 3.08-3.09
Te2 0.5000 0.5000 0.5000  6 Pa 3.22
P1 0.5000 0.0000 0.0000  6 Pa 2.73-2.74
C1 0.0000 0.5000 0.0000  6 Pa 2.56-2.58


Entry from the Alexandria database: a relaxed Tl2MoRuC crystal (GGA-PBE).

Properties
- Calculated volume: 113.80 Å³/cell
- Calculated formation energy: 1.621 eV/atom
- E: -25.96 eV for the cell shown
- Total moment: 2.6 μB/cell

Cell: 5.4065 5.4065 3.8932 Å, 90.00 90.00 90.00°
With the nearest neighbours (Å) after each atom.
Sites, in units of the cell vectors:
Tl1 0.0000 0.5000 0.0000  2 Mo 2.70
Tl2 0.5000 0.0000 0.0000  2 Mo 2.70
Mo1 0.0000 0.0000 0.0000  2 C 1.95
Ru1 0.5000 0.5000 0.5000  8 Tl 3.33
C1 0.0000 0.0000 0.5000  2 Mo 1.95